The following is a PBE+U calculation of a geometry-optimized Rb2ErVF6 structure, from Alexandria.

Cell: 6.4518 6.4518 8.7799 Å, 90.00 90.00 90.00°
With the nearest neighbours (Å) after each atom.
Space group I4/mmm (No. 139)
Unique sites:
Rb1 0.0000 0.5000 0.2500 [4 per cell]  12 F 3.17-3.23
Er1 0.0000 0.0000 0.0000 [2 per cell]  6 F 2.18
V1 0.0000 0.0000 0.5000 [2 per cell]  6 F 2.21-2.38
F1 0.0000 0.0000 0.2485 [4 per cell]  1 Er 2.18, 1 V 2.21
F2 0.2388 0.2388 0.0000 [8 per cell]  1 Er 2.18, 1 V 2.38

## Properties
Fermi-level density of states (states/eV/cell): 7.5
Volume (Å³/atom): 18.27
Raw total energy (eV/atom): -5.45